# 1
Here is a geometry-optimized TcTe structure from Alexandria. Energies are from PBEsol.

The structure belongs to space group Cm (No. 8); the cell edges are 13.6924, 3.1242 and 6.2175 Å and the angles 90.00°, 111.65° and 90.00°. The asymmetric unit holds Tc at (0.0000, 0.0000, 0.0000), Tc at (0.0532, 0.0000, 0.6132), Tc at (0.4027, 0.0000, 0.6621), Te at (0.1561, 0.5000, 0.9800), Te at (0.2272, 0.5000, 0.5346) and Te at (0.4236, 0.0000, 0.2507).

The value obtained for the volume is 20.6 A^3/atom. The density is 9.09 g cm⁻³. The crystal system is monoclinic. As for the energy above the most stable polymorph in this dataset: 0.00 kcal/mol of atoms. As for the density of states at the Fermi level: 7.30 states/eV/cell. The uncorrected formation energy is 215 meV per atom.

=====

# 2
Here is a geometry-optimized TcTe8 structure from Alexandria. Energies are from PBEsol.

The structure belongs to space group I4/mmm (No. 139); the cell edges are 10.2635, 10.2635 and 4.8405 Å and the angles 90.00°, 90.00° and 90.00°. The asymmetric unit holds Tc at (0.0000, 0.0000, 0.0000), Te at (0.0000, 0.2717, 0.0000) and Te at (0.1482, 0.1482, 0.5000).

The value obtained for the volume is 28.3 A^3/atom. The density is 7.29 g cm⁻³. The crystal system is tetragonal. As for the density of states at the Fermi level: 10.98 states/eV/cell. The uncorrected formation energy is 360 meV per atom.

=====

# 3
Here is a geometry-optimized Tc2Te structure from Alexandria. Energies are from PBEsol.

The structure belongs to space group I4/mcm (No. 140); the cell edges are 5.1322, 5.1322 and 8.1174 Å and the angles 90.00°, 90.00° and 90.00°. The asymmetric unit holds Tc at (0.1674, 0.3326, 0.0000) and Te at (0.0000, 0.0000, 0.2500).

The value obtained for the volume is 17.8 A^3/atom. The density is 10.05 g cm⁻³. The crystal system is tetragonal. As for the density of states at the Fermi level: 17.00 states/eV/cell. The uncorrected formation energy is 550 meV per atom.

=====

# 4
Here is a geometry-optimized TcTe structure from Alexandria. Energies are from PBEsol.

The structure belongs to space group Fd-3m (No. 227, origin choice 2); the cell edges are 6.6686, 6.6686 and 6.6686 Å and the angles 90.00°, 90.00° and 90.00°. The asymmetric unit holds Tc at (0.1250, 0.1250, 0.1250) and Te at (0.1250, 0.1250, 0.6250).

The value obtained for the volume is 18.5 A^3/atom. The density is 10.11 g cm⁻³. The crystal system is cubic. As for the energy above the most stable polymorph in this dataset: 18.26 kcal/mol of atoms. As for the density of states at the Fermi level: 22.65 states/eV/cell. The uncorrected formation energy is 1006 meV per atom.

=====

# 5
Here is a geometry-optimized Tc3Te structure from Alexandria. Energies are from PBEsol.

The structure belongs to space group P-6m2 (No. 187); the cell edges are 2.9404, 2.9404 and 8.4514 Å and the angles 90.00°, 90.00° and 120.00°. The asymmetric unit holds Tc at (0.0000, 0.0000, 0.0000), Tc at (0.6667, 0.3333, 0.2400) and Te at (0.0000, 0.0000, 0.5000).

The value obtained for the volume is 15.8 A^3/atom. The density is 11.06 g cm⁻³. The crystal system is hexagonal. As for the energy above the most stable polymorph in this dataset: 3.11 kcal/mol of atoms. As for the density of states at the Fermi level: 4.30 states/eV/cell. The uncorrected formation energy is 478 meV per atom.

=====

# 6
Here is a geometry-optimized Tc3Te structure from Alexandria. Energies are from PBEsol.

The structure belongs to space group C2/m (No. 12); the cell edges are 9.2604, 2.9685 and 4.5988 Å and the angles 90.00°, 97.49° and 90.00°. The asymmetric unit holds Tc at (0.0000, 0.0000, 0.0000), Tc at (0.2352, 0.5000, 0.2222) and Te at (0.0000, 0.5000, 0.5000).

The value obtained for the volume is 15.7 A^3/atom. The density is 11.17 g cm⁻³. The crystal system is monoclinic. As for the energy above the most stable polymorph in this dataset: 0.00 kcal/mol of atoms. As for the density of states at the Fermi level: 8.77 states/eV/cell. The uncorrected formation energy is 343 meV per atom.

=====

# 7
Here is a geometry-optimized TcTe structure from Alexandria. Energies are from PBEsol.

The structure belongs to space group Cmcm (No. 63); the cell edges are 3.3135, 10.3954 and 4.2114 Å and the angles 90.00°, 90.00° and 90.00°. The asymmetric unit holds Tc at (0.0000, 0.0850, 0.2500) and Te at (0.0000, 0.3520, 0.2500).

The value obtained for the volume is 18.1 A^3/atom. The density is 10.33 g cm⁻³. The crystal system is orthorhombic. As for the energy above the most stable polymorph in this dataset: 1.87 kcal/mol of atoms. As for the density of states at the Fermi level: 8.01 states/eV/cell. The uncorrected formation energy is 296 meV per atom.

=====

# 8
Here is a geometry-optimized TlTcTe2 structure from Alexandria. Energies are from PBEsol.

The structure belongs to space group F-43m (No. 216); the cell edges are 7.0835, 7.0835 and 7.0835 Å and the angles 90.00°, 90.00° and 90.00°. The asymmetric unit holds Tl at (0.0000, 0.0000, 0.0000), Tc at (0.2500, 0.2500, 0.2500), Te at (0.0000, 0.0000, 0.5000) and Te at (0.2500, 0.2500, 0.7500).

The value obtained for the volume is 22.2 A^3/atom. The density is 10.42 g cm⁻³. The crystal system is cubic. As for the energy above the most stable polymorph in this dataset: 3.99 kcal/mol of atoms. As for the density of states at the Fermi level: 16.18 states/eV/cell. The uncorrected formation energy is 849 meV per atom.

=====

# 9
Here is a geometry-optimized TlTcTe2 structure from Alexandria. Energies are from PBEsol.

The structure belongs to space group P4/mmm (No. 123); the cell edges are 5.2177, 5.2177 and 3.3680 Å and the angles 90.00°, 90.00° and 90.00°. The asymmetric unit holds Tl at (0.0000, 0.0000, 0.0000), Tc at (0.5000, 0.5000, 0.0000) and Te at (0.0000, 0.5000, 0.5000).

The value obtained for the volume is 22.9 A^3/atom. The density is 10.10 g cm⁻³. The crystal system is tetragonal. As for the energy above the most stable polymorph in this dataset: 0.00 kcal/mol of atoms. As for the density of states at the Fermi level: 4.35 states/eV/cell. The uncorrected formation energy is 676 meV per atom.

=====

# 10
Here is a geometry-optimized Tl2TcTe structure from Alexandria. Energies are from PBEsol.

The structure belongs to space group Immm (No. 71); the cell edges are 3.1507, 4.3664 and 14.3217 Å and the angles 90.00°, 90.00° and 90.00°. The asymmetric unit holds Tl at (0.0000, 0.0000, 0.1815), Tc at (0.0000, 0.5000, 0.5000) and Te at (0.0000, 0.5000, 0.0000).

The value obtained for the volume is 24.6 A^3/atom. The density is 10.69 g cm⁻³. The crystal system is orthorhombic. As for the density of states at the Fermi level: 5.36 states/eV/cell. The uncorrected formation energy is 371 meV per atom.

=====

# 11
Here is a geometry-optimized TcTeW2 structure from Alexandria. Energies are from PBEsol.

The structure belongs to space group Pmmm (No. 47); the cell edges are 3.1624, 4.4804 and 4.5971 Å and the angles 90.00°, 90.00° and 90.00°. The asymmetric unit holds Tc at (0.0000, 0.0000, 0.0000), Te at (0.5000, 0.5000, 0.0000), W at (0.0000, 0.5000, 0.5000) and W at (0.5000, 0.0000, 0.5000).

The value obtained for the volume is 16.3 A^3/atom. The density is 15.12 g cm⁻³. The crystal system is orthorhombic. As for the energy above the most stable polymorph in this dataset: 0.00 kcal/mol of atoms. As for the density of states at the Fermi level: 2.86 states/eV/cell. The uncorrected formation energy is 506 meV per atom.

=====

# 12
Here is a geometry-optimized TcTeW structure from Alexandria. Energies are from PBEsol.

The structure belongs to space group F-43m (No. 216); the cell edges are 6.1370, 6.1370 and 6.1370 Å and the angles 90.00°, 90.00° and 90.00°. The asymmetric unit holds Tc at (0.0000, 0.0000, 0.0000), Te at (0.0000, 0.0000, 0.5000) and W at (0.2500, 0.2500, 0.7500).

The value obtained for the volume is 19.3 A^3/atom. The density is 11.77 g cm⁻³. The crystal system is cubic. As for the density of states at the Fermi level: 7.82 states/eV/cell. The uncorrected formation energy is 610 meV per atom.